(1)
RbHgAs2Br | PBE | relaxed

Unit cell a=5.2408 b=5.2408 c=6.7102 alpha=90.00 beta=90.00 gamma=90.00
Element x y z (fractional)
Rb 0.0000 0.0000 0.0000
Hg 0.5000 0.5000 0.5000
As 0.0000 0.5000 0.5000
As 0.5000 0.0000 0.5000
Br 0.5000 0.5000 0.0000

Output
DFT total energy (eV per atom): -2.382
SG: No. 123
Magnetic moment (μB/atom): 0.3588
Polymorph energy (0 for the lowest one) (meV/atom): 0

(2)
RbCu4Sn3Br12 | PBE | relaxed

Unit cell a=9.4826 b=9.4826 c=9.4826 alpha=105.79 beta=105.79 gamma=105.79
Element x y z (fractional)
Rb 0.0000 0.0000 0.0000
Cu 0.0708 0.5000 0.9292
Cu 0.5000 0.5000 0.5000
Cu 0.5000 0.9292 0.0708
Cu 0.9292 0.0708 0.5000
Sn 0.0000 0.5584 0.4416
Sn 0.4416 0.0000 0.5584
Sn 0.5584 0.4416 0.0000
Br 0.0150 0.6392 0.7665
Br 0.0890 0.9110 0.5000
Br 0.2335 0.3608 0.9850
Br 0.3447 0.6553 0.5000
Br 0.3608 0.9850 0.2335
Br 0.5000 0.0890 0.9110
Br 0.5000 0.3447 0.6553
Br 0.6392 0.7665 0.0150
Br 0.6553 0.5000 0.3447
Br 0.7665 0.0150 0.6392
Br 0.9110 0.5000 0.0890
Br 0.9850 0.2335 0.3608

Output
DFT total energy (eV per atom): -3.096
SG: No. 155
Magnetic moment (μB/atom): 0.0000

(3)
Na2NbIn2 | PBE | relaxed

Unit cell a=5.5080 b=5.5080 c=5.8188 alpha=90.00 beta=90.00 gamma=90.00
Element x y z (fractional)
Na 0.0000 0.0000 0.0000
Na 0.5000 0.5000 0.0000
Nb 0.0000 0.0000 0.5000
In 0.0000 0.5000 0.5000
In 0.5000 0.0000 0.5000

Output
DFT total energy (eV per atom): -3.008
SG: No. 123
Magnetic moment (μB/atom): 0.3294
Energy relative to the elements (kJ per mole of atoms): 61

(4)
Nb2SnRu3 | PBE | relaxed

Unit cell a=6.9492 b=6.9492 c=3.3918 alpha=90.00 beta=90.00 gamma=143.23
Element x y z (fractional)
Nb 0.1686 0.8314 0.0000
Nb 0.8314 0.1686 0.0000
Sn 0.5000 0.5000 0.0000
Ru 0.0000 0.0000 0.5000
Ru 0.3310 0.6690 0.5000
Ru 0.6690 0.3310 0.5000

Output
DFT total energy (eV per atom): -8.861
SG: No. 65
Magnetic moment (μB/atom): 0.0000
Energy relative to the elements (kJ per mole of atoms): -19

(5)
KPRu2 | PBE | relaxed

Unit cell a=2.8144 b=3.7968 c=7.3093 alpha=90.00 beta=90.00 gamma=90.00
Element x y z (fractional)
K 0.0000 0.0000 0.0000
P 0.5000 0.5000 0.3184
Ru 0.0000 0.0000 0.4808
Ru 0.5000 0.5000 0.6300

Output
DFT total energy (eV per atom): -5.963
SG: No. 25
Magnetic moment (μB/atom): 0.0029
Energy relative to the elements (kJ per mole of atoms): 29

(6)
LaTiRh3 | PBE | relaxed

Unit cell a=4.6498 b=4.6498 c=4.6498 alpha=90.00 beta=90.00 gamma=90.00
Element x y z (fractional)
La 0.0000 0.0000 0.0000
Ti 0.5000 0.5000 0.5000
Rh 0.0000 0.5000 0.5000
Rh 0.5000 0.0000 0.5000
Rh 0.5000 0.5000 0.0000

Output
DFT total energy (eV per atom): -7.338
SG: No. 221
Magnetic moment (μB/atom): 0.0000
Polymorph energy (0 for the lowest one) (meV/atom): 0
Energy relative to the elements (kJ per mole of atoms): -35

(7)
Ba2TiSe4 | PBE | relaxed

Unit cell a=7.2519 b=7.1251 c=9.3028 alpha=90.00 beta=108.76 gamma=90.00
Element x y z (fractional)
Ba 0.2138 0.2500 0.0441
Ba 0.2848 0.2500 0.5747
Ba 0.7152 0.7500 0.4253
Ba 0.7862 0.7500 0.9559
Ti 0.2144 0.7500 0.7934
Ti 0.7856 0.2500 0.2066
Se 0.0069 0.5075 0.2706
Se 0.0069 0.9925 0.2706
Se 0.3795 0.7500 0.0614
Se 0.4201 0.7500 0.6359
Se 0.5799 0.2500 0.3641
Se 0.6205 0.2500 0.9386
Se 0.9931 0.0075 0.7294
Se 0.9931 0.4925 0.7294

Output
DFT total energy (eV per atom): -5.356
SG: No. 11
Magnetic moment (μB/atom): 0.0000
Polymorph energy (0 for the lowest one) (meV/atom): 0

(8)
RbZnCu2Ir | PBE | relaxed

Unit cell a=5.0063 b=5.0063 c=5.0273 alpha=90.00 beta=90.00 gamma=90.00
Element x y z (fractional)
Rb 0.0000 0.0000 0.0000
Zn 0.5000 0.5000 0.5000
Cu 0.0000 0.5000 0.0000
Cu 0.5000 0.0000 0.0000
Ir 0.0000 0.0000 0.5000

Output
DFT total energy (eV per atom): -1.617
SG: No. 123
Magnetic moment (μB/atom): 0.0000
Energy relative to the elements (kJ per mole of atoms): 216

(9)
Na3AlGa3O8 | PBE | relaxed

Unit cell a=5.9503 b=5.9503 c=6.4815 alpha=117.37 beta=117.37 gamma=59.94
Element x y z (fractional)
Na 0.0000 0.0000 0.0000
Na 0.0000 0.5000 0.0000
Na 0.5000 0.0000 0.0000
Al 0.0000 0.0000 0.5000
Ga 0.0000 0.5000 0.5000
Ga 0.5000 0.0000 0.5000
Ga 0.5000 0.5000 0.5000
O 0.2220 0.2220 0.6857
O 0.2220 0.7418 0.6857
O 0.2582 0.7780 0.3143
O 0.2674 0.2674 0.3023
O 0.7326 0.7326 0.6977
O 0.7418 0.2220 0.6857
O 0.7780 0.2582 0.3143
O 0.7780 0.7780 0.3143

Output
DFT total energy (eV per atom): -5.638
SG: No. 12
Magnetic moment (μB/atom): 0.0757

(10)
NaGa3Pd3 | PBE | relaxed

Unit cell a=6.9067 b=6.9067 c=6.9067 alpha=90.00 beta=90.00 gamma=90.00
Element x y z (fractional)
Na 0.0000 0.0000 0.0000
Na 0.5000 0.5000 0.5000
Ga 0.0000 0.2500 0.5000
Ga 0.0000 0.7500 0.5000
Ga 0.2500 0.5000 0.0000
Ga 0.5000 0.0000 0.2500
Ga 0.5000 0.0000 0.7500
Ga 0.7500 0.5000 0.0000
Pd 0.0000 0.5000 0.2500
Pd 0.0000 0.5000 0.7500
Pd 0.2500 0.0000 0.5000
Pd 0.5000 0.2500 0.0000
Pd 0.5000 0.7500 0.0000
Pd 0.7500 0.0000 0.5000

Output
DFT total energy (eV per atom): -3.927
SG: No. 223
Magnetic moment (μB/atom): 0.0000
Polymorph energy (0 for the lowest one) (meV/atom): 165
Energy relative to the elements (kJ per mole of atoms): -21

(11)
KBrO2 | PBE | relaxed

Unit cell a=5.6127 b=6.3954 c=8.4249 alpha=90.00 beta=109.21 gamma=90.00
Element x y z (fractional)
K 0.2161 0.2500 0.4312
K 0.7839 0.7500 0.5688
Br 0.1840 0.7500 0.3665
Br 0.8160 0.2500 0.6335
O 0.4233 0.6534 0.8522
O 0.4233 0.8466 0.8522
O 0.5767 0.1534 0.1478
O 0.5767 0.3466 0.1478

Output
DFT total energy (eV per atom): -3.962
SG: No. 11
Magnetic moment (μB/atom): 0.5286
Polymorph energy (0 for the lowest one) (meV/atom): 0

(12)
Cs2HgICl6 | PBE | relaxed

Unit cell a=8.1143 b=8.1143 c=8.1143 alpha=122.05 beta=122.05 gamma=86.48
Element x y z (fractional)
Cs 0.2500 0.7500 0.5000
Cs 0.7500 0.2500 0.5000
Hg 0.0000 0.0000 0.0000
I 0.5000 0.5000 0.0000
Cl 0.2085 0.2085 0.0000
Cl 0.2556 0.2556 0.5111
Cl 0.2556 0.7444 0.0000
Cl 0.7444 0.2556 0.0000
Cl 0.7444 0.7444 0.4889
Cl 0.7915 0.7915 0.0000

Output
DFT total energy (eV per atom): -2.438
SG: No. 139
Magnetic moment (μB/atom): 0.1000

(13)
MgCrGaS4 | PBE | relaxed

Unit cell a=7.2866 b=7.2866 c=7.2866 alpha=120.36 beta=120.23 gamma=89.49
Element x y z (fractional)
Mg 0.3764 0.1264 0.2500
Mg 0.6236 0.8736 0.7500
Cr 0.0000 0.5000 0.5000
Cr 0.5000 0.5000 0.0000
Ga 0.0000 0.0000 0.5000
Ga 0.0000 0.5000 0.0000
S 0.2134 0.7332 0.4802
S 0.2401 0.2672 0.5271
S 0.2401 0.7131 0.9729
S 0.2470 0.2668 0.9802
S 0.7530 0.7332 0.0198
S 0.7599 0.2869 0.0271
S 0.7599 0.7328 0.4729
S 0.7866 0.2668 0.5198

Output
DFT total energy (eV per atom): -5.248
SG: No. 74
Magnetic moment (μB/atom): 0.4286

(14)
ZrTeAu | PBE | relaxed

Unit cell a=5.3632 b=5.3632 c=7.8343 alpha=113.70 beta=113.70 gamma=40.67
Element x y z (fractional)
Zr 0.0000 0.0000 0.0000
Zr 0.0000 0.0000 0.5000
Te 0.3578 0.3578 0.6787
Te 0.6422 0.6422 0.3213
Au 0.3229 0.3229 0.1523
Au 0.6771 0.6771 0.8477

Output
DFT total energy (eV per atom): -5.484
SG: No. 12
Magnetic moment (μB/atom): 0.0000
Polymorph energy (0 for the lowest one) (meV/atom): 54

(15)
LiY2TiSb | PBE | relaxed

Unit cell a=5.2734 b=5.2734 c=4.8624 alpha=90.00 beta=90.00 gamma=90.00
Element x y z (fractional)
Li 0.0000 0.0000 0.0000
Y 0.0000 0.5000 0.5000
Y 0.5000 0.0000 0.5000
Ti 0.0000 0.0000 0.5000
Sb 0.5000 0.5000 0.0000

Output
DFT total energy (eV per atom): -4.882
SG: No. 123
Magnetic moment (μB/atom): 0.2685

(16)
Tl2GaAgW | PBE | relaxed

Unit cell a=5.3731 b=5.3731 c=5.2105 alpha=90.00 beta=90.00 gamma=90.00
Element x y z (fractional)
Tl 0.0000 0.5000 0.0000
Tl 0.5000 0.0000 0.0000
Ga 0.0000 0.0000 0.5000
Ag 0.5000 0.5000 0.5000
W 0.5000 0.5000 0.0000

Output
DFT total energy (eV per atom): -3.620
SG: No. 123
Magnetic moment (μB/atom): 0.0000
Energy relative to the elements (kJ per mole of atoms): 105

(17)
AcTe | PBE | relaxed

Unit cell a=4.7312 b=4.7312 c=4.7312 alpha=60.00 beta=60.00 gamma=60.00
Element x y z (fractional)
Ac 0.0000 0.0000 0.0000
Te 0.5000 0.5000 0.5000

Output
DFT total energy (eV per atom): -5.116
SG: No. 225
Magnetic moment (μB/atom): 0.0000
Polymorph energy (0 for the lowest one) (meV/atom): 0

(18)
NbCd2Co | PBE | relaxed

Unit cell a=5.9849 b=5.9849 c=5.9849 alpha=100.78 beta=100.78 gamma=128.75
Element x y z (fractional)
Nb 0.0000 0.0000 0.0000
Nb 0.7500 0.2500 0.5000
Cd 0.1672 0.6250 0.0422
Cd 0.3750 0.4172 0.5422
Cd 0.5828 0.1250 0.9578
Cd 0.8750 0.8328 0.4578
Co 0.2500 0.7500 0.5000
Co 0.5000 0.5000 0.0000

Output
DFT total energy (eV per atom): -4.053
SG: No. 122
Magnetic moment (μB/atom): 0.1333
Polymorph energy (0 for the lowest one) (meV/atom): 207
Energy relative to the elements (kJ per mole of atoms): 67

(19)
LiNdErRu | PBE | relaxed

Unit cell a=4.9706 b=4.9706 c=4.9706 alpha=60.00 beta=60.00 gamma=60.00
Element x y z (fractional)
Li 0.0000 0.0000 0.0000
Nd 0.2500 0.2500 0.2500
Er 0.7500 0.7500 0.7500
Ru 0.5000 0.5000 0.5000

Output
DFT total energy (eV per atom): -5.349
SG: No. 216
Magnetic moment (μB/atom): 0.0000
Energy relative to the elements (kJ per mole of atoms): -21

(20)
Sc5SeS4 | PBE | relaxed

Unit cell a=9.8825 b=9.8825 c=9.8825 alpha=158.27 beta=149.10 gamma=38.09
Element x y z (fractional)
Sc 0.0000 0.0000 0.0000
Sc 0.1992 0.1992 0.0000
Sc 0.3927 0.3927 0.0000
Sc 0.6073 0.6073 0.0000
Sc 0.8008 0.8008 0.0000
Se 0.5000 0.0000 0.5000
S 0.1002 0.6002 0.5000
S 0.2973 0.7973 0.5000
S 0.7027 0.2027 0.5000
S 0.8998 0.3998 0.5000

Output
DFT total energy (eV per atom): -6.970
SG: No. 71
Magnetic moment (μB/atom): 0.0000
Polymorph energy (0 for the lowest one) (meV/atom): 11